No. 1
! RbGdFeS3, optimized geometry, DFT GGA-PBE; values from VASP
! * raw total energy: -5.71 eV/atom
! * polymorph energy (0 for the lowest one): 0.026 eV/f.u.
&SYSTEM
  ibrav = 0, nat = 12, ntyp = 4
/
ATOMIC_SPECIES
Fe 55.84 Fe.upf
Gd 157.25 Gd.upf
Rb 85.47 Rb.upf
S 32.06 S.upf
CELL_PARAMETERS angstrom
7.417 -2.002 0.000
7.417 2.002 0.000
0.000 0.000 10.528
ATOMIC_POSITIONS crystal
Fe 0.468 0.468 0.250
Fe 0.532 0.532 0.750
Gd 0.000 0.000 0.000
Gd 0.000 0.000 0.500
Rb 0.742 0.742 0.250
Rb 0.258 0.258 0.750
S 0.381 0.381 0.070
S 0.056 0.056 0.250
S 0.381 0.381 0.430
S 0.619 0.619 0.570
S 0.944 0.944 0.750
S 0.619 0.619 0.930


No. 2
! CsLuAs, optimized geometry, DFT GGA-PBE; values from VASP
! * raw total energy: -3.20 eV/atom
&SYSTEM
  ibrav = 0, nat = 3, ntyp = 3
/
ATOMIC_SPECIES
As 74.92 As.upf
Cs 132.91 Cs.upf
Lu 174.97 Lu.upf
CELL_PARAMETERS angstrom
0.000 3.625 3.625
3.625 0.000 3.625
3.625 3.625 0.000
ATOMIC_POSITIONS crystal
As 0.250 0.250 0.250
Cs 0.750 0.750 0.750
Lu 0.000 0.000 0.000


No. 3
! LuPuBi, optimized geometry, DFT GGA-PBE; values from VASP
! * raw total energy: -7.36 eV/atom
&SYSTEM
  ibrav = 0, nat = 3, ntyp = 3
/
ATOMIC_SPECIES
Bi 208.98 Bi.upf
Lu 174.97 Lu.upf
Pu 244.00 Pu.upf
CELL_PARAMETERS angstrom
-3.159 0.199 4.186
-0.112 4.304 3.001
-4.220 3.120 -0.043
ATOMIC_POSITIONS crystal
Bi 0.750 0.750 0.750
Lu 0.250 0.250 0.250
Pu 0.000 0.000 0.000


No. 4
! CuAg4, optimized geometry, DFT GGA-PBE; values from VASP
! * ΔH_f (0 K): 0.056 eV per atom
! * raw total energy: -2.95 eV/atom
! * polymorph energy (0 for the lowest one): 0.158 eV/f.u.
&SYSTEM
  ibrav = 0, nat = 10, ntyp = 2
/
ATOMIC_SPECIES
Ag 107.87 Ag.upf
Cu 63.55 Cu.upf
CELL_PARAMETERS angstrom
-3.942 0.668 -2.982
-3.147 -4.834 0.205
-4.771 1.570 3.942
ATOMIC_POSITIONS crystal
Ag 0.497 0.255 0.007
Ag 0.912 0.840 0.206
Ag 0.898 0.354 0.215
Ag 0.313 0.940 0.400
Ag 0.687 0.060 0.600
Ag 0.102 0.646 0.785
Ag 0.088 0.160 0.794
Ag 0.503 0.745 0.993
Cu 0.301 0.451 0.404
Cu 0.699 0.549 0.596


No. 5
! ErBOs, optimized geometry, DFT GGA-PBE; values from VASP
! * raw total energy: -7.38 eV/atom
! * polymorph energy (0 for the lowest one): 0.000 eV/f.u.
&SYSTEM
  ibrav = 0, nat = 3, ntyp = 3
/
ATOMIC_SPECIES
B 10.81 B.upf
Er 167.26 Er.upf
Os 190.23 Os.upf
CELL_PARAMETERS angstrom
0.000 2.871 2.871
2.871 0.000 2.871
2.871 2.871 0.000
ATOMIC_POSITIONS crystal
B 0.000 0.000 0.000
Er 0.250 0.250 0.250
Os 0.750 0.750 0.750


No. 6
! Dy4Te3P, optimized geometry, DFT GGA-PBE; values from VASP
! * raw total energy: -5.58 eV/atom
&SYSTEM
  ibrav = 0, nat = 8, ntyp = 3
/
ATOMIC_SPECIES
Dy 162.50 Dy.upf
P 30.97 P.upf
Te 127.60 Te.upf
CELL_PARAMETERS angstrom
-3.893 5.014 -3.919
-2.759 -0.290 6.925
2.678 3.012 1.193
ATOMIC_POSITIONS crystal
Dy 0.773 0.227 0.000
Dy 0.227 0.773 0.000
Dy 0.214 0.214 0.500
Dy 0.786 0.786 0.500
P 0.000 0.000 0.000
Te 0.500 0.500 0.000
Te 0.500 0.000 0.500
Te 0.000 0.500 0.500


No. 7
! Pa2H, optimized geometry, DFT GGA-PBE; values from VASP
! * raw total energy: -5.97 eV/atom
&SYSTEM
  ibrav = 0, nat = 6, ntyp = 2
/
ATOMIC_SPECIES
H 1.01 H.upf
Pa 231.04 Pa.upf
CELL_PARAMETERS angstrom
3.239 1.870 5.290
-3.239 1.870 5.290
0.000 -3.741 5.290
ATOMIC_POSITIONS crystal
H 0.250 0.250 0.250
H 0.500 0.500 0.500
Pa 0.875 0.375 0.375
Pa 0.375 0.375 0.375
Pa 0.375 0.875 0.375
Pa 0.375 0.375 0.875


No. 8
! Tm2Re, optimized geometry, DFT GGA-PBE; values from VASP
! * ΔH_f (0 K): 1.796 eV per atom
! * raw total energy: -5.33 eV/atom
&SYSTEM
  ibrav = 0, nat = 6, ntyp = 2
/
ATOMIC_SPECIES
Re 186.21 Re.upf
Tm 168.93 Tm.upf
CELL_PARAMETERS angstrom
3.076 3.976 6.468
4.963 6.421 -1.119
-2.613 7.556 1.785
ATOMIC_POSITIONS crystal
Re 0.250 0.250 0.250
Re 0.500 0.500 0.500
Tm 0.375 0.375 0.375
Tm 0.875 0.375 0.375
Tm 0.375 0.875 0.375
Tm 0.375 0.375 0.875


No. 9
! CsNdCl3, optimized geometry, DFT GGA-PBE; values from VASP
! * raw total energy: -4.21 eV/atom
! * polymorph energy (0 for the lowest one): 0.000 eV/f.u.
&SYSTEM
  ibrav = 0, nat = 10, ntyp = 3
/
ATOMIC_SPECIES
Cl 35.45 Cl.upf
Cs 132.91 Cs.upf
Nd 144.24 Nd.upf
CELL_PARAMETERS angstrom
6.706 -3.865 0.000
6.706 3.865 0.000
-0.057 0.000 6.535
ATOMIC_POSITIONS crystal
Cl 0.827 0.827 0.247
Cl 0.827 0.346 0.251
Cl 0.346 0.827 0.251
Cl 0.654 0.173 0.749
Cl 0.173 0.654 0.749
Cl 0.173 0.173 0.753
Cs 0.334 0.334 0.251
Cs 0.666 0.666 0.749
Nd 0.000 0.000 0.000
Nd 0.000 0.000 0.500


No. 10
! Pm3Sm2Bi3, optimized geometry, DFT GGA-PBE; values from VASP
! * raw total energy: -5.26 eV/atom
&SYSTEM
  ibrav = 0, nat = 16, ntyp = 3
/
ATOMIC_SPECIES
Bi 208.98 Bi.upf
Pm 145.00 Pm.upf
Sm 150.36 Sm.upf
CELL_PARAMETERS angstrom
9.398 0.000 0.000
-4.699 8.139 0.000
0.000 0.000 6.520
ATOMIC_POSITIONS crystal
Bi 0.389 0.000 0.250
Bi 0.000 0.389 0.250
Bi 0.611 0.611 0.250
Bi 0.611 0.000 0.750
Bi 0.389 0.389 0.750
Bi 0.000 0.611 0.750
Pm 0.754 0.000 0.250
Pm 0.246 0.246 0.250
Pm 0.000 0.754 0.250
Pm 0.246 0.000 0.750
Pm 0.000 0.246 0.750
Pm 0.754 0.754 0.750
Sm 0.667 0.333 0.000
Sm 0.333 0.667 0.000
Sm 0.667 0.333 0.500
Sm 0.333 0.667 0.500


No. 11
! NbCo, optimized geometry, DFT GGA-PBE; values from VASP
! * ΔH_f (0 K): 0.265 eV per atom
! * raw total energy: -8.34 eV/atom
&SYSTEM
  ibrav = 0, nat = 2, ntyp = 2
/
ATOMIC_SPECIES
Co 58.93 Co.upf
Nb 92.91 Nb.upf
CELL_PARAMETERS angstrom
-3.605 -1.080 2.551
-2.757 1.501 3.288
-4.296 1.137 0.959
ATOMIC_POSITIONS crystal
Co 0.000 0.000 0.000
Nb 0.500 0.500 0.500


No. 12
! YOsNO, optimized geometry, DFT GGA-PBE; values from VASP
! * raw total energy: -8.35 eV/atom
! * polymorph energy (0 for the lowest one): 3.254 eV/f.u.
&SYSTEM
  ibrav = 0, nat = 8, ntyp = 4
/
ATOMIC_SPECIES
N 14.01 N.upf
O 16.00 O.upf
Os 190.23 Os.upf
Y 88.91 Y.upf
CELL_PARAMETERS angstrom
4.935 0.000 0.000
0.000 4.935 0.000
0.000 0.000 4.229
ATOMIC_POSITIONS crystal
N 0.750 0.750 0.497
N 0.250 0.250 0.503
O 0.750 0.250 0.000
O 0.250 0.750 0.000
Os 0.250 0.250 0.003
Os 0.750 0.750 0.997
Y 0.750 0.250 0.500
Y 0.250 0.750 0.500


Please write out number 8 again, unchanged.
! Tm2Re, optimized geometry, DFT GGA-PBE; values from VASP
! * ΔH_f (0 K): 1.796 eV per atom
! * raw total energy: -5.33 eV/atom
&SYSTEM
  ibrav = 0, nat = 6, ntyp = 2
/
ATOMIC_SPECIES
Re 186.21 Re.upf
Tm 168.93 Tm.upf
CELL_PARAMETERS angstrom
3.076 3.976 6.468
4.963 6.421 -1.119
-2.613 7.556 1.785
ATOMIC_POSITIONS crystal
Re 0.250 0.250 0.250
Re 0.500 0.500 0.500
Tm 0.375 0.375 0.375
Tm 0.875 0.375 0.375
Tm 0.375 0.875 0.375
Tm 0.375 0.375 0.875